Model one:
The following is a PBE calculation of an optimized crystal structure of TbPrInAg, from Alexandria via LeMat-Bulk.

Properties
As for the magnetization: 0.0 μB/f.u. Its space-group type is P4mm. The density of states at the Fermi level comes out at 3.61 states/eV/cell.

Cell lengths 3.694, 3.694, 7.921 Å; angles 90.00, 90.00, 90.00 degrees
Fractional coordinates of all 4 atoms:
Tb: 0.000 0.000 0.000
Pr: 0.000 0.000 0.476
In: 0.500 0.500 0.747
Ag: 0.500 0.500 0.211

=====

Model two:
The following is a PBE calculation of an optimized crystal structure of TbPrInAg, from Alexandria via LeMat-Bulk.

Properties
As for the magnetization: 0.3 μB/f.u. Its space-group type is F-43m. The density of states at the Fermi level comes out at 3.88 states/eV/cell.

Cell lengths 5.370, 5.370, 5.370 Å; angles 60.00, 60.00, 60.00 degrees
Fractional coordinates of all 4 atoms:
Tb: 0.000 0.000 0.000
Pr: 0.500 0.500 0.500
In: 0.750 0.750 0.750
Ag: 0.250 0.250 0.250

=====

Looking at the structures above, which would you pick as the most stable? I would pick model one.